MgNi6W | Alexandria via LeMat-Bulk | SCAN | single point on PBEsol structure; mass density = 10.151 g/cm³; crystal system = orthorhombic; final energy = -21.563 eV per atom; ΔE_f = -0.10 eV/atom
1.0
6.1935 0.0039 0.0000
-2.0599 5.8409 0.0000
0.0000 0.0000 10.1321
Ni W Mg
24 4 4
Direct
0.7521 0.2479 0.7441
0.3689 0.1215 0.1281
0.3722 0.1201 0.6220
0.1201 0.3722 0.6220
0.2479 0.7521 0.2559
0.8785 0.6311 0.1281
0.8799 0.6278 0.6220
0.6278 0.8799 0.6220
0.0000 0.0000 0.0000
0.1215 0.3689 0.8719
0.1215 0.3689 0.1281
0.6311 0.8785 0.1281
0.6311 0.8785 0.8719
0.5000 0.5000 0.5000
0.7521 0.2479 0.2559
0.6278 0.8799 0.3780
0.8785 0.6311 0.8719
0.1201 0.3722 0.3780
0.3689 0.1215 0.8719
0.5000 0.5000 0.0000
0.8799 0.6278 0.3780
0.2479 0.7521 0.7441
0.0000 0.0000 0.5000
0.3722 0.1201 0.3780
0.7496 0.2504 0.5000
0.0000 0.0000 0.2413
0.0000 0.0000 0.7587
0.2504 0.7496 0.5000
0.7490 0.2510 0.0000
0.5000 0.5000 0.7522
0.2510 0.7490 0.0000
0.5000 0.5000 0.2478



TlCrPb2 | Alexandria via LeMat-Bulk | SCAN | single point on PBEsol structure; mass density = 11.123 g/cm³; distance to the lowest polymorph of the same formula = 0.037 eV per atom; crystal system = tetragonal; final energy = -60.331 eV per atom; ΔE_f = 0.25 eV/atom
1.0
-3.6701 0.6650 -2.4419
-2.6527 -1.7748 3.5036
-0.4495 4.3373 1.8567
Tl Pb Cr
1 2 1
Direct
0.5000 0.5000 0.5000
0.0000 0.5000 0.0000
0.0000 0.0000 0.5000
0.5000 0.0000 0.0000



Li4Mn3V2Ni3O16 | Alexandria via LeMat-Bulk | SCAN | single point on PBEsol structure; mass density = 4.642 g/cm³; crystal system = monoclinic; final energy = -10.957 eV per atom; uncorrected formation energy = -2117 meV/atom
1.0
-3.5431 -1.5772 -4.1468
-1.7977 0.0212 5.4149
-2.6867 8.7883 -1.0470
Li Ni O V Mn
4 3 16 2 3
Direct
0.9974 0.9948 0.5023
0.3360 0.6720 0.1039
0.6671 0.3343 0.6020
0.0019 0.0038 0.0085
0.1723 0.3446 0.7875
0.8308 0.1719 0.2873
0.3411 0.1719 0.2873
0.3416 0.6833 0.8962
0.3426 0.1653 0.9060
0.6530 0.8166 0.4055
0.8341 0.6683 0.8983
0.9948 0.9896 0.6932
0.4930 0.5340 0.6565
0.6707 0.3414 0.3938
0.0410 0.5340 0.6565
0.9637 0.4933 0.1542
0.8227 0.1653 0.9060
0.5241 0.0482 0.1481
0.1636 0.8166 0.4055
0.4806 0.9611 0.6667
0.1714 0.3428 0.4158
0.5296 0.4933 0.1542
0.9950 0.9901 0.1988
0.6538 0.3076 0.0099
0.3301 0.6602 0.4992
0.1649 0.8211 0.7841
0.8241 0.6481 0.2805
0.6562 0.8211 0.7841



BeHgOs2 | Alexandria via LeMat-Bulk | SCAN | single point on PBEsol structure; mass density = 17.201 g/cm³; distance to the lowest polymorph of the same formula = 0.491 eV per atom; crystal system = tetragonal; final energy = -53.356 eV per atom; ΔE_f = 0.71 eV/atom
1.0
-2.1657 -3.3206 -0.0539
0.9667 -0.6919 3.7823
-2.3044 3.8826 -0.7788
Be Hg Os
1 1 2
Direct
0.5000 0.5000 0.0000
0.2500 0.7500 0.5000
0.7500 0.2500 0.5000
0.0000 0.0000 0.0000



ZrTlCl2 | Alexandria via LeMat-Bulk | SCAN | single point on PBEsol structure; mass density = 6.921 g/cm³; distance to the lowest polymorph of the same formula = 0.157 eV per atom; crystal system = tetragonal; final energy = -30.670 eV per atom; uncorrected formation energy = -917 meV/atom
1.0
3.5626 0.0000 0.0000
0.0000 3.5626 0.0000
0.0000 0.0000 6.9283
Zr Cl Tl
1 2 1
Direct
0.5000 0.5000 0.8430
0.0000 0.0000 0.9461
0.5000 0.5000 0.2003
0.0000 0.0000 0.5106



Tb5SbAu2 | Alexandria via LeMat-Bulk | SCAN | single point on PBEsol structure; mass density = 10.616 g/cm³; crystal system = tetragonal; final energy = -52.122 eV per atom; uncorrected formation energy = -949 meV/atom
1.0
7.9846 0.0000 0.0000
-3.9923 7.5683 -0.0263
0.0000 4.2354 6.7687
Au Tb Sb
4 10 2
Direct
0.8645 0.0000 0.3645
0.3645 0.0000 0.1355
0.6355 0.0000 0.8645
0.1355 0.0000 0.6355
0.5000 0.0000 0.5000
0.7997 0.2865 0.0132
0.4868 0.2865 0.7003
0.0000 0.0000 0.0000
0.7003 0.7135 0.7997
0.0132 0.7135 0.4868
0.2997 0.2865 0.2003
0.9868 0.2865 0.5132
0.2003 0.7135 0.9868
0.5132 0.7135 0.2997
0.2500 0.5000 0.7500
0.7500 0.5000 0.2500



AlZn | Alexandria via LeMat-Bulk | SCAN | single point on PBEsol structure; mass density = 4.971 g/cm³; crystal system = monoclinic; final energy = -10.585 eV per atom; ΔE_f = 0.05 eV/atom
1.0
2.8133 0.0000 0.0000
-1.4066 5.3297 0.1526
0.0000 -1.9768 6.1190
Al Zn
3 3
Direct
0.0053 0.0107 0.0025
0.3325 0.6650 0.6700
0.3868 0.7735 0.2741
0.0551 0.1102 0.6076
0.6677 0.3355 0.3386
0.7192 0.4384 0.9405



Ba3NdIrRuO9 | Alexandria via LeMat-Bulk | SCAN | single point on PBEsol structure; mass density = 7.371 g/cm³; crystal system = hexagonal; final energy = -23.998 eV per atom; uncorrected formation energy = -2382 meV/atom
1.0
5.9114 0.0000 0.0000
-2.9557 5.1194 0.0000
0.0000 0.0000 14.7910
O Ru Ir Ba Nd
18 2 2 6 2
Direct
0.5088 0.4912 0.2489
0.3567 0.1783 0.4099
0.8211 0.6421 0.0931
0.0176 0.5088 0.7489
0.8211 0.1789 0.0931
0.4912 0.9824 0.7489
0.9824 0.4912 0.2489
0.6421 0.8211 0.5931
0.6433 0.8217 0.9099
0.5088 0.0176 0.2489
0.1783 0.3567 0.9099
0.8217 0.1783 0.4099
0.3579 0.1789 0.0931
0.8217 0.6433 0.4099
0.1789 0.3579 0.5931
0.4912 0.5088 0.7489
0.1789 0.8211 0.5931
0.1783 0.8217 0.9099
0.6667 0.3333 0.1658
0.3333 0.6667 0.6658
0.3333 0.6667 0.8332
0.6667 0.3333 0.3332
0.6667 0.3333 0.5984
0.3333 0.6667 0.3974
0.0000 0.0000 0.7502
0.6667 0.3333 0.8974
0.0000 0.0000 0.2502
0.3333 0.6667 0.0984
0.0000 0.0000 0.4996
0.0000 0.0000 0.9996



Na2ReAuI | Alexandria via LeMat-Bulk | SCAN | single point on PBEsol structure; mass density = 5.447 g/cm³; crystal system = tetragonal; final energy = -35.809 eV per atom; uncorrected formation energy = 1276 meV/atom
1.0
-3.3873 3.7008 -2.1516
-3.7936 -1.2048 3.8999
2.1691 3.9152 3.3194
Na Au Re I
2 1 1 1
Direct
0.0000 0.5000 0.0000
0.0000 0.0000 0.5000
0.5000 0.0000 0.0000
0.5000 0.5000 0.5000
0.0000 0.0000 0.0000



Zr2RhSe | Alexandria via LeMat-Bulk | SCAN | single point on PBEsol structure; mass density = 8.106 g/cm³; crystal system = tetragonal; final energy = -29.673 eV per atom; uncorrected formation energy = -861 meV/atom
1.0
-2.0182 2.3560 -1.7528
-2.4550 -2.5207 -0.5615
-2.6581 1.4676 5.0333
Zr Rh Se
2 1 1
Direct
0.5000 0.5000 0.2915
0.0000 0.0000 0.9565
0.0000 0.0000 0.4606
0.5000 0.5000 0.7914



ZnAs2Pt | Alexandria via LeMat-Bulk | SCAN | single point on PBEsol structure; mass density = 9.572 g/cm³; crystal system = monoclinic; final energy = -31.229 eV per atom; ΔE_f = -0.21 eV/atom
1.0
3.7140 0.0000 0.0000
-1.8570 3.2293 -0.0291
0.0000 -2.1081 5.9542
Pt As Zn
1 2 1
Direct
0.0000 0.0000 0.5000
0.7434 0.4868 0.7255
0.2566 0.5132 0.2745
0.5000 0.0000 0.0000



Si2Os | Alexandria via LeMat-Bulk | SCAN | single point on PBEsol structure; mass density = 9.725 g/cm³; crystal system = orthorhombic; final energy = -31.129 eV per atom; uncorrected formation energy = -492 meV/atom
1.0
-0.3689 -2.2910 6.0547
6.3549 1.0594 -0.7330
-0.9469 7.6409 2.8335
Os Si
8 16
Direct
0.2855 0.7145 0.5000
0.7855 0.2145 0.0000
0.7145 0.2855 0.5000
0.1881 0.1881 0.8183
0.8119 0.8119 0.1817
0.6881 0.6881 0.6817
0.2145 0.7855 0.0000
0.3119 0.3119 0.3183
0.1493 0.4063 0.0590
0.9258 0.1796 0.2762
0.9063 0.6493 0.4410
0.6493 0.9063 0.4410
0.8507 0.5937 0.9410
0.4063 0.1493 0.0590
0.0937 0.3507 0.5590
0.5742 0.3204 0.7762
0.5937 0.8507 0.9410
0.8204 0.0742 0.7238
0.1796 0.9258 0.2762
0.3507 0.0937 0.5590
0.6796 0.4258 0.2238
0.4258 0.6796 0.2238
0.0742 0.8204 0.7238
0.3204 0.5742 0.7762



TlAsIrBr2 | Alexandria via LeMat-Bulk | SCAN | single point on PBEsol structure; mass density = 8.014 g/cm³; crystal system = tetragonal; final energy = -40.526 eV per atom; uncorrected formation energy = -13 meV/atom
1.0
-2.4662 -1.9791 -3.3065
4.1014 -3.2438 -1.1176
-1.8609 -3.5666 3.5227
Tl Ir As Br
1 1 1 2
Direct
0.5000 0.5000 0.5000
0.0000 0.0000 0.0000
0.5000 0.0000 0.0000
0.0000 0.0000 0.5000
0.0000 0.5000 0.0000



Y2HgRu | Alexandria via LeMat-Bulk | SCAN | single point on PBEsol structure; mass density = 9.149 g/cm³; crystal system = tetragonal; final energy = -40.293 eV per atom; ΔE_f = -0.62 eV/atom
1.0
3.4102 0.0000 0.0000
0.0000 3.4102 0.0000
0.0000 0.0000 7.4835
Ru Y Hg
1 2 1
Direct
0.5000 0.5000 0.5000
0.0000 0.0000 0.7182
0.0000 0.0000 0.2818
0.5000 0.5000 0.0000



CsBaBeIn2 | Alexandria via LeMat-Bulk | SCAN | single point on PBEsol structure; mass density = 3.545 g/cm³; crystal system = tetragonal; final energy = -28.306 eV per atom; ΔE_f = 1.39 eV/atom
1.0
-0.9123 5.8036 -1.4292
-3.9080 0.5147 4.5847
4.8765 1.7420 3.9611
Be Cs Ba In
1 1 1 2
Direct
0.5000 0.5000 0.5000
0.0000 0.0000 0.0000
0.0000 0.0000 0.5000
0.0000 0.5000 0.0000
0.5000 0.0000 0.0000



RbAs3Ru | Alexandria via LeMat-Bulk | SCAN | single point on PBEsol structure; mass density = 4.714 g/cm³; crystal system = cubic; final energy = -20.692 eV per atom; ΔE_f = 2.54 eV/atom
1.0
-2.7688 -2.2589 -3.8493
4.4574 -1.1692 -2.5200
0.2269 -4.5953 2.5334
As Ru Rb
3 1 1
Direct
0.5000 0.0000 0.0000
0.0000 0.5000 0.0000
0.0000 0.0000 0.5000
0.5000 0.5000 0.5000
0.0000 0.0000 0.0000



Th11Ru12C18 | Alexandria via LeMat-Bulk | SCAN | single point on PBEsol structure; mass density = 10.756 g/cm³; crystal system = cubic; final energy = -40.690 eV per atom; ΔE_f = -0.33 eV/atom
1.0
-4.2181 -8.1606 1.2966
7.4767 0.5198 5.4679
-5.8576 6.8784 2.1087
C Ru Th
18 12 11
Direct
0.4339 0.0000 0.4339
0.6896 0.0000 0.2140
0.0000 0.4339 0.4339
0.0000 0.5661 0.5661
0.4756 0.7860 0.7860
0.7860 0.4756 0.7860
0.2140 0.0000 0.6896
0.0000 0.6896 0.2140
0.4339 0.4339 0.0000
0.2140 0.6896 0.0000
0.6896 0.2140 0.0000
0.3104 0.3104 0.5244
0.3104 0.5244 0.3104
0.5244 0.3104 0.3104
0.5661 0.5661 0.0000
0.0000 0.2140 0.6896
0.7860 0.7860 0.4756
0.5661 0.0000 0.5661
0.0000 0.6327 0.8024
0.8024 0.0000 0.6327
0.6327 0.0000 0.8024
0.8024 0.6327 0.0000
0.3673 0.3673 0.1697
0.0000 0.8024 0.6327
0.3673 0.1697 0.3673
0.1697 0.3673 0.3673
0.6327 0.8024 0.0000
0.1976 0.8303 0.1976
0.8303 0.1976 0.1976
0.1976 0.1976 0.8303
0.0000 0.4047 0.0000
0.0000 0.0000 0.0000
0.7500 0.5000 0.2500
0.5000 0.7500 0.2500
0.5000 0.2500 0.7500
0.4047 0.0000 0.0000
0.2500 0.7500 0.5000
0.2500 0.5000 0.7500
0.7500 0.2500 0.5000
0.5953 0.5953 0.5953
0.0000 0.0000 0.4047



GeBiO2 | Alexandria via LeMat-Bulk | SCAN | single point on PBEsol structure; mass density = 8.311 g/cm³; distance to the lowest polymorph of the same formula = 0.044 eV per atom; crystal system = trigonal; final energy = -28.297 eV per atom; uncorrected formation energy = -764 meV/atom
1.0
-1.7780 2.6731 -0.5239
-2.6973 0.5262 1.7404
2.1854 4.4299 5.0876
O Ge Bi
2 1 1
Direct
0.1173 0.1173 0.6480
0.8827 0.8827 0.3520
0.5000 0.5000 0.5000
0.0000 0.0000 0.0000



BeGaCuSi2 | Alexandria via LeMat-Bulk | SCAN | single point on PBEsol structure; mass density = 3.705 g/cm³; crystal system = tetragonal; final energy = -9.941 eV per atom; uncorrected formation energy = 1245 meV/atom
1.0
4.0502 0.0000 0.0000
0.0000 4.6860 0.0000
0.0000 0.0000 4.6860
Si Cu Ga Be
2 1 1 1
Direct
0.0000 0.0000 0.5000
0.0000 0.5000 0.0000
0.5000 0.5000 0.5000
0.0000 0.0000 0.0000
0.5000 0.0000 0.0000



CaHo2S4 | Alexandria via LeMat-Bulk | SCAN | single point on PBEsol structure; mass density = 5.963 g/cm³; distance to the lowest polymorph of the same formula = 0.053 eV per atom; crystal system = tetragonal; final energy = -23.214 eV per atom; uncorrected formation energy = -2335 meV/atom
1.0
7.1165 -0.0015 0.0000
-2.3670 6.7114 0.0000
2.3748 3.3550 5.8095
S Ca Ho
8 2 4
Direct
0.9839 0.3823 0.7499
0.6177 0.8677 0.3984
0.4838 0.3823 0.7501
0.2662 0.0161 0.6016
0.7661 0.5162 0.1016
0.1323 0.2339 0.2499
0.6177 0.8677 0.8984
0.1323 0.7338 0.2501
0.7500 0.2500 0.5000
0.0000 0.0000 0.0000
0.5027 0.1250 0.1223
0.3750 0.4973 0.3777
0.2473 0.6250 0.8777
0.8750 0.7527 0.6223